1.
# MgTl2PbI6 (PBE, relaxed)
data_MgTl2PbI6
_cell_length_a 8.567
_cell_length_b 8.567
_cell_length_c 8.567
_cell_angle_alpha 58.76
_cell_angle_beta 58.76
_cell_angle_gamma 58.76
_space_group_name_H-M_alt 'P 1'
_space_group_IT_number 1
_space_group_name_Hall 'P 1'
loop_
_atom_site_label
_atom_site_type_symbol
_atom_site_fract_x
_atom_site_fract_y
_atom_site_fract_z
_atom_site_occupancy
Mg1 Mg 0.000 0.000 0.000 1
Tl1 Tl 0.210 0.210 0.210 1
Tl2 Tl 0.706 0.706 0.706 1
Pb1 Pb 0.499 0.499 0.499 1
I1 I 0.142 0.778 0.337 1
I2 I 0.247 0.669 0.860 1
I3 I 0.337 0.142 0.778 1
I4 I 0.669 0.860 0.247 1
I5 I 0.778 0.337 0.142 1
I6 I 0.860 0.247 0.669 1
# **Symmetry**: R3
# **ΔE_f (raw)**: -7.3 eV per formula unit



2.
# Th2Zn15Pt2 (PBE, relaxed)
data_Th2Zn15Pt2
_cell_length_a 6.853
_cell_length_b 6.853
_cell_length_c 6.853
_cell_angle_alpha 82.76
_cell_angle_beta 82.76
_cell_angle_gamma 82.76
_space_group_name_H-M_alt 'P 1'
_space_group_IT_number 1
_space_group_name_Hall 'P 1'
loop_
_atom_site_label
_atom_site_type_symbol
_atom_site_fract_x
_atom_site_fract_y
_atom_site_fract_z
_atom_site_occupancy
Th1 Th 0.162 0.162 0.162 1
Th2 Th 0.838 0.838 0.838 1
Zn1 Zn 0.000 0.500 0.500 1
Zn2 Zn 0.150 0.150 0.659 1
Zn3 Zn 0.150 0.659 0.150 1
Zn4 Zn 0.217 0.500 0.783 1
Zn5 Zn 0.217 0.783 0.500 1
Zn6 Zn 0.341 0.850 0.850 1
Zn7 Zn 0.500 0.000 0.500 1
Zn8 Zn 0.500 0.217 0.783 1
Zn9 Zn 0.500 0.500 0.000 1
Zn10 Zn 0.500 0.783 0.217 1
Zn11 Zn 0.659 0.150 0.150 1
Zn12 Zn 0.783 0.217 0.500 1
Zn13 Zn 0.783 0.500 0.217 1
Zn14 Zn 0.850 0.341 0.850 1
Zn15 Zn 0.850 0.850 0.341 1
Pt1 Pt 0.385 0.385 0.385 1
Pt2 Pt 0.615 0.615 0.615 1
# **Energy of formation from the pure elements**: -0.345 eV per atom
# **Symmetry**: R-3m



3.
# EuSi2PdAu (PBE, relaxed)
data_EuSi2PdAu
_cell_length_a 4.324
_cell_length_b 4.324
_cell_length_c 10.045
_cell_angle_alpha 90.00
_cell_angle_beta 90.00
_cell_angle_gamma 90.00
_space_group_name_H-M_alt 'P 1'
_space_group_IT_number 1
_space_group_name_Hall 'P 1'
loop_
_atom_site_label
_atom_site_type_symbol
_atom_site_fract_x
_atom_site_fract_y
_atom_site_fract_z
_atom_site_occupancy
Eu1 Eu 0.000 0.000 0.000 1
Eu2 Eu 0.500 0.500 0.500 1
Si1 Si 0.000 0.000 0.382 1
Si2 Si 0.000 0.000 0.618 1
Si3 Si 0.500 0.500 0.118 1
Si4 Si 0.500 0.500 0.882 1
Pd1 Pd 0.000 0.500 0.250 1
Pd2 Pd 0.500 0.000 0.750 1
Au1 Au 0.000 0.500 0.750 1
Au2 Au 0.500 0.000 0.250 1
# **Symmetry**: I-4m2
# **ΔE_f (raw)**: -3.4 eV per formula unit



4.
# TcSbTe2 (PBE, relaxed)
data_TcSbTe2
_cell_length_a 5.132
_cell_length_b 5.132
_cell_length_c 3.471
_cell_angle_alpha 90.00
_cell_angle_beta 90.00
_cell_angle_gamma 90.00
_space_group_name_H-M_alt 'P 1'
_space_group_IT_number 1
_space_group_name_Hall 'P 1'
loop_
_atom_site_label
_atom_site_type_symbol
_atom_site_fract_x
_atom_site_fract_y
_atom_site_fract_z
_atom_site_occupancy
Tc1 Tc 0.000 0.000 0.000 1
Sb1 Sb 0.500 0.500 0.000 1
Te1 Te 0.000 0.500 0.500 1
Te2 Te 0.500 0.000 0.500 1
# **Symmetry**: P4/mmm
# **ΔE_f (raw)**: 2.5 eV per formula unit



5.
# Cs2MgTl4 (PBE, relaxed)
data_Cs2MgTl4
_cell_length_a 7.747
_cell_length_b 5.070
_cell_length_c 8.283
_cell_angle_alpha 90.00
_cell_angle_beta 96.33
_cell_angle_gamma 90.00
_space_group_name_H-M_alt 'P 1'
_space_group_IT_number 1
_space_group_name_Hall 'P 1'
loop_
_atom_site_label
_atom_site_type_symbol
_atom_site_fract_x
_atom_site_fract_y
_atom_site_fract_z
_atom_site_occupancy
Cs1 Cs 0.153 0.000 0.285 1
Cs2 Cs 0.847 0.000 0.715 1
Mg1 Mg 0.500 0.500 0.000 1
Tl1 Tl 0.348 0.500 0.624 1
Tl2 Tl 0.351 0.000 0.846 1
Tl3 Tl 0.649 0.000 0.154 1
Tl4 Tl 0.652 0.500 0.376 1
# **Energy of formation from the pure elements**: -0.026 eV per atom
# **Symmetry**: P2/m



6.
# Ba2Ca2P (PBE, relaxed)
data_Ba2Ca2P
_cell_length_a 7.855
_cell_length_b 7.855
_cell_length_c 6.676
_cell_angle_alpha 90.00
_cell_angle_beta 90.00
_cell_angle_gamma 90.00
_space_group_name_H-M_alt 'P 1'
_space_group_IT_number 1
_space_group_name_Hall 'P 1'
loop_
_atom_site_label
_atom_site_type_symbol
_atom_site_fract_x
_atom_site_fract_y
_atom_site_fract_z
_atom_site_occupancy
Ba1 Ba 0.171 0.329 0.000 1
Ba2 Ba 0.329 0.829 0.000 1
Ba3 Ba 0.671 0.171 0.000 1
Ba4 Ba 0.829 0.671 0.000 1
Ca1 Ca 0.171 0.671 0.500 1
Ca2 Ca 0.329 0.171 0.500 1
Ca3 Ca 0.671 0.829 0.500 1
Ca4 Ca 0.829 0.329 0.500 1
P1 P 0.000 0.000 0.500 1
P2 P 0.500 0.500 0.500 1
# **Energy of formation from the pure elements**: -0.218 eV per atom
# **Symmetry**: P4/mbm



| no. | calculated total energy (eV/atom) |
| --- | --- |
| 1 | -2.661 |
| 2 | -2.768 |
| 3 | -6.598 |
| 4 | -4.567 |
| 5 | -1.850 |
| 6 | -2.869 |